Entry 1:
YMnRu2 after structural relaxation. Source: Alexandria, functional PBE.

Computed properties:
space-group type	Pmmm (47)
energy	-33.336	eV for the cell shown
energy relative to the elements	82	kJ/mol of formula units
total magnetization	4.08	Bohr magnetons per cell

Structure (POSCAR):
```
YMnRu2
1.0
3.241 0.000 0.000
0.000 4.367 0.000
0.000 0.000 4.750
Y Mn Ru
1 1 2
Cartesian
0.000 0.000 0.000
1.620 0.000 2.375
0.000 2.184 2.375
1.620 2.184 0.000
```


Entry 2:
AlInPd2 after structural relaxation. Source: Alexandria, functional PBE.

Computed properties:
space-group type	R3m (160)
energy	-19.050	eV for the cell shown
energy relative to the elements	-211	kJ/mol of formula units
total magnetization	0.00	Bohr magnetons per cell

Structure (POSCAR):
```
AlInPd2
1.0
2.060 1.189 4.916
-2.060 1.189 4.916
0.000 -2.378 4.916
Al In Pd
1 1 2
Cartesian
0.000 0.000 0.000
0.000 0.000 11.994
0.000 0.000 5.652
0.000 0.000 8.765
```


Entry 3:
La2InHgRu after structural relaxation. Source: Alexandria, functional PBE.

Computed properties:
space-group type	P4/mmm (123)
energy	-23.392	eV for the cell shown
energy relative to the elements	-118	kJ/mol of formula units
offset from the most stable computed form	199	meV per atom
total magnetization	0.00	Bohr magnetons per cell

Structure (POSCAR):
```
La2InHgRu
1.0
5.304 0.000 0.000
0.000 5.304 0.000
0.000 0.000 5.386
La In Hg Ru
2 1 1 1
Cartesian
0.000 2.652 0.000
2.652 0.000 0.000
0.000 0.000 2.693
2.652 2.652 2.693
2.652 2.652 0.000
```


Entry 4:
Sr2TcIr after structural relaxation. Source: Alexandria, functional PBE.

Computed properties:
space-group type	Imm2 (44)
energy	-21.605	eV for the cell shown
energy relative to the elements	95	kJ/mol of formula units
offset from the most stable computed form	94	meV per atom
total magnetization	0.00	Bohr magnetons per cell

Structure (POSCAR):
```
Sr2TcIr
1.0
-2.082 2.597 5.099
2.082 -2.597 5.099
2.082 2.597 -5.099
Sr Tc Ir
2 1 1
Cartesian
0.000 0.000 0.000
0.000 2.597 2.215
2.082 0.000 3.116
0.000 0.000 4.241
```